LiPrSmGe, optimized geometry, DFT PBE; space-group type = No. 216; E_tot = -4.43 eV/atom; formation energy = -0.418 eV/atom
1.0
0.000 3.669 3.669
3.669 0.000 3.669
3.669 3.669 0.000
Li Pr Sm Ge
1 1 1 1
Direct
0.000 0.000 0.000
0.250 0.250 0.250
0.750 0.750 0.750
0.500 0.500 0.500